1.
# YZrV (PBE, optimized geometry)
# ΔH_f (0 K) = 446 meV/atom
# crystal system = trigonal
# offset from the most stable computed form = 265 meV/atom
# V = 72.1 Å³/f.u.
# DOS at the Fermi energy = 35.1 states/eV per cell
# electronic total energy = -7.60 eV/atom
data_YZrV
_symmetry_space_group_name_H-M 'R 3'
_symmetry_Int_Tables_number 146
_symmetry_space_group_name_Hall 'R 3'
_cell_length_a 6.1472
_cell_length_b 6.1472
_cell_length_c 19.8396
_cell_angle_alpha 90.00
_cell_angle_beta 90.00
_cell_angle_gamma 120.00
loop_
_atom_site_label
_atom_site_fract_x
_atom_site_fract_y
_atom_site_fract_z
Y1 0.9999 0.3618 0.0000
Zr1 0.0048 0.5537 0.5130
V1 0.0000 0.0000 0.0865
V2 0.0000 0.0000 0.4539
V3 0.0000 0.0000 0.5572

2.
# K3SrNp2O9 (PBE, optimized geometry)
# crystal system = trigonal
# V = 254.3 Å³/f.u.
# DOS at the Fermi energy = 7.3 states/eV per cell
# formation energy (no corrections) = -2.55 eV/atom
# electronic total energy = -7.58 eV/atom
data_K3SrNp2O9
_symmetry_space_group_name_H-M 'P -3 m 1'
_symmetry_Int_Tables_number 164
_symmetry_space_group_name_Hall '-P 3 2"'
_cell_length_a 6.1952
_cell_length_b 6.1952
_cell_length_c 7.6495
_cell_angle_alpha 90.00
_cell_angle_beta 90.00
_cell_angle_gamma 120.00
loop_
_atom_site_label
_atom_site_fract_x
_atom_site_fract_y
_atom_site_fract_z
K1 0.0000 0.0000 0.0000
K2 0.3333 0.6667 0.6618
Sr1 0.0000 0.0000 0.5000
Np1 0.3333 0.6667 0.1574
O1 0.0000 0.5000 0.0000
O2 0.1827 0.3655 0.3059

3.
# LiZnAu14 (PBE, optimized geometry)
# ΔH_f (0 K) = -114 meV/atom
# crystal system = tetragonal
# V = 281.8 Å³/f.u.
# DOS at the Fermi energy = 4.5 states/eV per cell
# electronic total energy = -3.18 eV/atom
data_LiZnAu14
_symmetry_space_group_name_H-M 'P 4/m m m'
_symmetry_Int_Tables_number 123
_symmetry_space_group_name_Hall '-P 4 2'
_cell_length_a 5.9565
_cell_length_b 5.9565
_cell_length_c 7.9432
_cell_angle_alpha 90.00
_cell_angle_beta 90.00
_cell_angle_gamma 90.00
loop_
_atom_site_label
_atom_site_fract_x
_atom_site_fract_y
_atom_site_fract_z
Li1 0.0000 0.0000 0.0000
Zn1 0.5000 0.5000 0.0000
Au1 0.0000 0.0000 0.5000
Au2 0.0000 0.5000 0.0000
Au3 0.0000 0.5000 0.5000
Au4 0.2500 0.2500 0.2424
Au5 0.5000 0.5000 0.5000

4.
# PmMgBiRu (PBE, optimized geometry)
# ΔH_f (0 K) = -110 meV/atom
# crystal system = cubic
# V = 86.3 Å³/f.u.
# DOS at the Fermi energy = 9.9 states/eV per cell
# electronic total energy = -4.99 eV/atom
data_PmMgBiRu
_symmetry_space_group_name_H-M 'F -4 3 m'
_symmetry_Int_Tables_number 216
_symmetry_space_group_name_Hall 'F -4 2 3'
_cell_length_a 7.0138
_cell_length_b 7.0138
_cell_length_c 7.0138
_cell_angle_alpha 90.00
_cell_angle_beta 90.00
_cell_angle_gamma 90.00
loop_
_atom_site_label
_atom_site_fract_x
_atom_site_fract_y
_atom_site_fract_z
Pm1 0.0000 0.0000 0.0000
Mg1 0.2500 0.2500 0.7500
Bi1 0.0000 0.0000 0.5000
Ru1 0.2500 0.2500 0.2500